# Mn2MoOs, relaxed, DFT GGA-PBEsol
# ΔH_f (0 K)   172.2 meV per atom
# Crystal system   orthorhombic
data_Mn2MoOs
_chemical_formula_sum 'Mn2 Mo1 Os1'
_space_group_name_H-M_alt 'P 1'
_space_group_IT_number 1
_space_group_name_Hall 'P 1'
_cell_length_a 2.972
_cell_length_b 4.138
_cell_length_c 4.930
_cell_angle_alpha 114.81
_cell_angle_beta 107.54
_cell_angle_gamma 90.00
loop_
_atom_site_label
_atom_site_type_symbol
_atom_site_fract_x
_atom_site_fract_y
_atom_site_fract_z
Mn1 Mn 0.007 0.007 0.015
Mn2 Mn 0.743 0.243 0.486
Mo1 Mo 0.494 0.494 0.989
Os1 Os 0.255 0.755 0.510

=====

# MnMoOs2, relaxed, DFT GGA-PBEsol
# ΔH_f (0 K)   65.9 meV per atom
# Crystal system   tetragonal
data_MnMoOs2
_chemical_formula_sum 'Mn1 Mo1 Os2'
_space_group_name_H-M_alt 'P 1'
_space_group_IT_number 1
_space_group_name_Hall 'P 1'
_cell_length_a 3.767
_cell_length_b 3.802
_cell_length_c 3.802
_cell_angle_alpha 90.00
_cell_angle_beta 90.00
_cell_angle_gamma 90.00
loop_
_atom_site_label
_atom_site_type_symbol
_atom_site_fract_x
_atom_site_fract_y
_atom_site_fract_z
Mn1 Mn 0.500 0.500 0.500
Mo1 Mo 0.500 0.000 0.000
Os1 Os 0.000 0.000 0.500
Os2 Os 0.000 0.500 0.000

=====

# MnMoOs2, relaxed, DFT GGA-PBEsol
# ΔH_f (0 K)   128.0 meV per atom
# Crystal system   orthorhombic
data_MnMoOs2
_chemical_formula_sum 'Mn1 Mo1 Os2'
_space_group_name_H-M_alt 'P 1'
_space_group_IT_number 1
_space_group_name_Hall 'P 1'
_cell_length_a 2.691
_cell_length_b 3.754
_cell_length_c 5.384
_cell_angle_alpha 90.00
_cell_angle_beta 90.00
_cell_angle_gamma 90.00
loop_
_atom_site_label
_atom_site_type_symbol
_atom_site_fract_x
_atom_site_fract_y
_atom_site_fract_z
Mn1 Mn 0.000 0.000 0.489
Mo1 Mo 0.500 0.500 0.742
Os1 Os 0.000 0.000 0.005
Os2 Os 0.500 0.500 0.264

=====

# MnMoOs2, relaxed, DFT GGA-PBEsol
# ΔH_f (0 K)   93.1 meV per atom
# Crystal system   tetragonal
data_MnMoOs2
_chemical_formula_sum 'Mn1 Mo1 Os2'
_space_group_name_H-M_alt 'P 1'
_space_group_IT_number 1
_space_group_name_Hall 'P 1'
_cell_length_a 3.803
_cell_length_b 3.803
_cell_length_c 4.624
_cell_angle_alpha 114.28
_cell_angle_beta 114.28
_cell_angle_gamma 90.00
loop_
_atom_site_label
_atom_site_type_symbol
_atom_site_fract_x
_atom_site_fract_y
_atom_site_fract_z
Mn1 Mn 0.500 0.500 0.000
Mo1 Mo 0.000 0.000 0.000
Os1 Os 0.750 0.250 0.500
Os2 Os 0.250 0.750 0.500

=====

# Mn2MoOs, relaxed, DFT GGA-PBEsol
# ΔH_f (0 K)   117.7 meV per atom
# Crystal system   tetragonal
data_Mn2MoOs
_chemical_formula_sum 'Mn2 Mo1 Os1'
_space_group_name_H-M_alt 'P 1'
_space_group_IT_number 1
_space_group_name_Hall 'P 1'
_cell_length_a 3.624
_cell_length_b 3.748
_cell_length_c 3.748
_cell_angle_alpha 90.00
_cell_angle_beta 90.00
_cell_angle_gamma 90.00
loop_
_atom_site_label
_atom_site_type_symbol
_atom_site_fract_x
_atom_site_fract_y
_atom_site_fract_z
Mn1 Mn 0.000 0.000 0.500
Mn2 Mn 0.000 0.500 0.000
Mo1 Mo 0.500 0.500 0.500
Os1 Os 0.500 0.000 0.000

=====

# MnMoP2, relaxed, DFT GGA-PBEsol
# ΔH_f (0 K)   -472.9 meV per atom
# Crystal system   tetragonal
data_MnMoP2
_chemical_formula_sum 'Mn1 Mo1 P2'
_space_group_name_H-M_alt 'P 1'
_space_group_IT_number 1
_space_group_name_Hall 'P 1'
_cell_length_a 3.090
_cell_length_b 3.090
_cell_length_c 5.220
_cell_angle_alpha 90.00
_cell_angle_beta 90.00
_cell_angle_gamma 90.00
loop_
_atom_site_label
_atom_site_type_symbol
_atom_site_fract_x
_atom_site_fract_y
_atom_site_fract_z
Mn1 Mn 0.000 0.000 0.439
Mo1 Mo 0.500 0.500 0.789
P1 P 0.000 0.000 0.989
P2 P 0.500 0.500 0.284

=====

# MnMoP2, relaxed, DFT GGA-PBEsol
# ΔH_f (0 K)   -578.2 meV per atom
# Crystal system   orthorhombic
data_MnMoP2
_chemical_formula_sum 'Mn1 Mo1 P2'
_space_group_name_H-M_alt 'P 1'
_space_group_IT_number 1
_space_group_name_Hall 'P 1'
_cell_length_a 3.130
_cell_length_b 3.136
_cell_length_c 5.717
_cell_angle_alpha 105.92
_cell_angle_beta 105.89
_cell_angle_gamma 90.00
loop_
_atom_site_label
_atom_site_type_symbol
_atom_site_fract_x
_atom_site_fract_y
_atom_site_fract_z
Mn1 Mn 0.539 0.539 0.079
Mo1 Mo 0.293 0.793 0.585
P1 P 0.968 0.968 0.936
P2 P 0.700 0.200 0.400

=====

# MnMo3P, relaxed, DFT GGA-PBEsol
# ΔH_f (0 K)   779.3 meV per atom
# Crystal system   cubic
data_MnMo3P
_chemical_formula_sum 'Mn1 Mo3 P1'
_space_group_name_H-M_alt 'P 1'
_space_group_IT_number 1
_space_group_name_Hall 'P 1'
_cell_length_a 4.397
_cell_length_b 4.397
_cell_length_c 4.397
_cell_angle_alpha 90.00
_cell_angle_beta 90.00
_cell_angle_gamma 90.00
loop_
_atom_site_label
_atom_site_type_symbol
_atom_site_fract_x
_atom_site_fract_y
_atom_site_fract_z
P1 P 0.000 0.000 0.000
Mo1 Mo 0.000 0.500 0.000
Mo2 Mo 0.000 0.000 0.500
Mo3 Mo 0.500 0.000 0.000
Mn1 Mn 0.500 0.500 0.500

=====

# Mn6Mo6P7, relaxed, DFT GGA-PBEsol
# ΔH_f (0 K)   -539.5 meV per atom
# Crystal system   hexagonal
data_Mn6Mo6P7
_chemical_formula_sum 'Mn6 Mo6 P7'
_space_group_name_H-M_alt 'P 1'
_space_group_IT_number 1
_space_group_name_Hall 'P 1'
_cell_length_a 3.275
_cell_length_b 9.240
_cell_length_c 9.240
_cell_angle_alpha 120.00
_cell_angle_beta 90.00
_cell_angle_gamma 90.00
loop_
_atom_site_label
_atom_site_type_symbol
_atom_site_fract_x
_atom_site_fract_y
_atom_site_fract_z
Mn1 Mn 0.500 0.190 0.985
Mn2 Mn 0.500 0.015 0.205
Mn3 Mn 0.500 0.795 0.810
Mn4 Mn 0.000 0.258 0.240
Mn5 Mn 0.000 0.760 0.018
Mn6 Mn 0.000 0.982 0.742
Mo1 Mo 0.000 0.511 0.131
Mo2 Mo 0.000 0.869 0.379
Mo3 Mo 0.000 0.621 0.489
Mo4 Mo 0.500 0.141 0.636
Mo5 Mo 0.500 0.364 0.505
Mo6 Mo 0.500 0.495 0.859
P1 P 0.000 0.280 0.850
P2 P 0.000 0.150 0.430
P3 P 0.000 0.570 0.720
P4 P 0.500 0.437 0.277
P5 P 0.500 0.723 0.160
P6 P 0.500 0.840 0.563
P7 P 0.000 0.000 0.000

=====

# MnMoP2S, relaxed, DFT GGA-PBEsol
# Electronic total energy   -6.876 eV/atom
# Crystal system   tetragonal
data_MnMoP2S
_chemical_formula_sum 'Mn1 Mo1 P2 S1'
_space_group_name_H-M_alt 'P 1'
_space_group_IT_number 1
_space_group_name_Hall 'P 1'
_cell_length_a 4.518
_cell_length_b 4.699
_cell_length_c 4.699
_cell_angle_alpha 90.00
_cell_angle_beta 90.00
_cell_angle_gamma 90.00
loop_
_atom_site_label
_atom_site_type_symbol
_atom_site_fract_x
_atom_site_fract_y
_atom_site_fract_z
P1 P 0.000 0.000 0.500
P2 P 0.000 0.500 0.000
Mo1 Mo 0.000 0.000 0.000
Mn1 Mn 0.500 0.500 0.500
S1 S 0.500 0.000 0.000

=====

# Y2MnMoP, relaxed, DFT GGA-PBEsol
# ΔH_f (0 K)   563.1 meV per atom
# Crystal system   tetragonal
data_Y2MnMoP
_chemical_formula_sum 'Y2 Mn1 Mo1 P1'
_space_group_name_H-M_alt 'P 1'
_space_group_IT_number 1
_space_group_name_Hall 'P 1'
_cell_length_a 4.550
_cell_length_b 5.264
_cell_length_c 5.264
_cell_angle_alpha 90.00
_cell_angle_beta 90.00
_cell_angle_gamma 90.00
loop_
_atom_site_label
_atom_site_type_symbol
_atom_site_fract_x
_atom_site_fract_y
_atom_site_fract_z
Y1 Y 0.000 0.000 0.500
Y2 Y 0.000 0.500 0.000
P1 P 0.500 0.000 0.000
Mo1 Mo 0.000 0.000 0.000
Mn1 Mn 0.500 0.500 0.500

=====

# MnMoPb3, relaxed, DFT GGA-PBEsol
# ΔH_f (0 K)   1170.5 meV per atom
# Crystal system   cubic
data_MnMoPb3
_chemical_formula_sum 'Mn1 Mo1 Pb3'
_space_group_name_H-M_alt 'P 1'
_space_group_IT_number 1
_space_group_name_Hall 'P 1'
_cell_length_a 5.096
_cell_length_b 5.096
_cell_length_c 5.096
_cell_angle_alpha 90.00
_cell_angle_beta 90.00
_cell_angle_gamma 90.00
loop_
_atom_site_label
_atom_site_type_symbol
_atom_site_fract_x
_atom_site_fract_y
_atom_site_fract_z
Pb1 Pb 0.000 0.500 0.000
Pb2 Pb 0.000 0.000 0.500
Pb3 Pb 0.500 0.000 0.000
Mo1 Mo 0.500 0.500 0.500
Mn1 Mn 0.000 0.000 0.000

=====

Calculated volume values, unit A^3/atom, following the record order: 13.0, 13.6, 13.6, 13.6, 12.7, 12.5, 12.9, 17.0, 12.7, 19.9, 25.2, 26.5.